Record 1
{"formula": "PbI2", "functional": "GGA-PBEsol", "state": "relaxed", "dft_energy_ev_per_atom": -3.113, "dos_at_fermi_per_ev_cell": 0.0, "e_form_raw_mev_per_atom": -602, "cell": [[2.261, 1.305, 14.061], [-2.261, 1.305, 14.061], [0.000, -2.610, 14.061]], "species": ["Pb", "Pb", "I", "I", "I", "I"], "frac_coords": [[0.083, 0.083, 0.083], [0.917, 0.917, 0.917], [0.206, 0.206, 0.206], [0.372, 0.372, 0.372], [0.628, 0.628, 0.628], [0.794, 0.794, 0.794]]}

---

Record 2
{"formula": "Ga2AgBP", "functional": "GGA-PBEsol", "state": "relaxed", "delta_e_f_ev_per_atom": 1.227, "dft_energy_ev_per_atom": -3.332, "dos_at_fermi_per_ev_cell": 2.7, "cell": [[4.678, 0.000, 0.000], [0.000, 4.678, 0.000], [0.000, 0.000, 4.608]], "species": ["Ga", "Ga", "Ag", "B", "P"], "frac_coords": [[0.000, 0.500, 0.000], [0.500, 0.000, 0.000], [0.000, 0.000, 0.500], [0.500, 0.500, 0.500], [0.000, 0.000, 0.000]]}

---

Record 3
{"formula": "TaPSe2", "functional": "GGA-PBEsol", "state": "relaxed", "dft_energy_ev_per_atom": -6.623, "dos_at_fermi_per_ev_cell": 2.2, "e_form_raw_mev_per_atom": -112, "cell": [[4.215, 0.000, 0.000], [0.000, 4.522, 0.000], [-1.606, 0.000, 4.165]], "species": ["Ta", "P", "Se", "Se"], "frac_coords": [[0.000, 0.000, 0.000], [0.968, 0.500, 0.209], [0.210, 0.500, 0.761], [0.624, 0.000, 0.379]]}

---

Record 4
{"formula": "GaCSe2", "functional": "GGA-PBEsol", "state": "relaxed", "dft_energy_ev_per_atom": -3.772, "dos_at_fermi_per_ev_cell": 3.2, "e_form_raw_mev_per_atom": 1399, "cell": [[0.000, 3.149, 3.149], [3.149, 0.000, 3.149], [3.149, 3.149, 0.000]], "species": ["Ga", "C", "Se", "Se"], "frac_coords": [[0.000, 0.000, 0.000], [0.500, 0.500, 0.500], [0.250, 0.250, 0.250], [0.750, 0.750, 0.750]]}

---

Record 5
{"formula": "TaCoTe2", "functional": "GGA-PBEsol", "state": "relaxed", "dft_energy_ev_per_atom": -6.552, "dos_at_fermi_per_ev_cell": 3.9, "e_form_raw_mev_per_atom": 284, "cell": [[4.605, 0.000, 0.000], [0.000, 4.605, 0.000], [0.000, 0.000, 3.375]], "species": ["Ta", "Co", "Te", "Te"], "frac_coords": [[0.000, 0.000, 0.000], [0.500, 0.500, 0.000], [0.000, 0.500, 0.500], [0.500, 0.000, 0.500]]}

---

Record 6
{"formula": "ZnP3N", "functional": "GGA-PBEsol", "state": "relaxed", "dft_energy_ev_per_atom": -4.716, "dos_at_fermi_per_ev_cell": 1.8, "e_form_raw_mev_per_atom": 781, "cell": [[4.051, 0.000, 0.000], [0.000, 4.051, 0.000], [0.000, 0.000, 4.051]], "species": ["Zn", "P", "P", "P", "N"], "frac_coords": [[0.000, 0.000, 0.000], [0.000, 0.500, 0.500], [0.500, 0.000, 0.500], [0.500, 0.500, 0.000], [0.500, 0.500, 0.500]]}

---

Record 7
{"formula": "ZrFe2W", "functional": "GGA-PBEsol", "state": "relaxed", "delta_e_f_ev_per_atom": 0.189, "dft_energy_ev_per_atom": -10.017, "dos_at_fermi_per_ev_cell": 3.5, "cell": [[2.733, -4.004, 0.000], [2.733, 4.004, 0.000], [-0.768, 0.000, 2.605]], "species": ["Zr", "Fe", "Fe", "W"], "frac_coords": [[0.000, 0.000, 0.000], [0.000, 0.500, 0.500], [0.500, 0.000, 0.500], [0.500, 0.500, 0.000]]}

---

Record 8
{"formula": "BaMnSe2", "functional": "GGA-PBEsol", "state": "relaxed", "dft_energy_ev_per_atom": -5.831, "dos_at_fermi_per_ev_cell": 1.9, "e_form_raw_mev_per_atom": -929, "cell": [[4.198, 0.000, 0.000], [0.000, 3.732, 0.000], [-0.023, 0.000, 7.075]], "species": ["Ba", "Mn", "Se", "Se"], "frac_coords": [[0.000, 0.000, 0.000], [0.500, 0.000, 0.500], [0.499, 0.500, 0.742], [0.501, 0.500, 0.258]]}

---

Record 9
{"formula": "Cs3Tl2Br9", "functional": "GGA-PBEsol", "state": "relaxed", "dft_energy_ev_per_atom": -2.855, "dos_at_fermi_per_ev_cell": 9.1, "e_form_raw_mev_per_atom": -1075, "cell": [[8.042, 0.000, 0.000], [-4.021, 6.964, 0.000], [0.000, 0.000, 9.842]], "species": ["Cs", "Cs", "Cs", "Tl", "Tl", "Br", "Br", "Br", "Br", "Br", "Br", "Br", "Br", "Br"], "frac_coords": [[0.000, 0.000, 0.000], [0.333, 0.667, 0.664], [0.667, 0.333, 0.336], [0.333, 0.667, 0.188], [0.667, 0.333, 0.812], [0.000, 0.500, 0.000], [0.166, 0.332, 0.326], [0.166, 0.834, 0.326], [0.332, 0.166, 0.674], [0.500, 0.000, 0.000], [0.500, 0.500, 0.000], [0.668, 0.834, 0.326], [0.834, 0.166, 0.674], [0.834, 0.668, 0.674]]}

---

Record 10
{"formula": "NbTlAg3", "functional": "GGA-PBEsol", "state": "relaxed", "delta_e_f_ev_per_atom": 1.420, "dft_energy_ev_per_atom": -3.257, "dos_at_fermi_per_ev_cell": 5.1, "cell": [[5.033, 0.000, 0.000], [0.000, 5.033, 0.000], [0.000, 0.000, 5.033]], "species": ["Nb", "Tl", "Ag", "Ag", "Ag"], "frac_coords": [[0.000, 0.000, 0.000], [0.500, 0.500, 0.500], [0.000, 0.500, 0.500], [0.500, 0.000, 0.500], [0.500, 0.500, 0.000]]}

---

Record 11
{"formula": "Li3YNi2O6", "functional": "GGA-PBEsol", "state": "relaxed", "dft_energy_ev_per_atom": -6.502, "dos_at_fermi_per_ev_cell": 2.1, "e_form_raw_mev_per_atom": -1791, "cell": [[2.580, -4.518, 0.000], [2.580, 4.518, 0.000], [-2.058, 0.000, 9.752]], "species": ["Li", "Li", "Li", "Li", "Li", "Li", "Y", "Y", "Ni", "Ni", "Ni", "Ni", "O", "O", "O", "O", "O", "O", "O", "O", "O", "O", "O", "O"], "frac_coords": [[0.000, 0.500, 0.500], [0.175, 0.293, 0.001], [0.293, 0.175, 0.501], [0.500, 0.000, 0.000], [0.707, 0.825, 0.499], [0.825, 0.707, 0.999], [0.254, 0.746, 0.250], [0.746, 0.254, 0.750], [0.081, 0.919, 0.750], [0.413, 0.587, 0.750], [0.587, 0.413, 0.250], [0.919, 0.081, 0.250], [0.063, 0.191, 0.638], [0.152, 0.679, 0.866], [0.191, 0.063, 0.138], [0.279, 0.416, 0.367], [0.321, 0.848, 0.634], [0.416, 0.279, 0.867], [0.584, 0.721, 0.133], [0.679, 0.152, 0.366], [0.721, 0.584, 0.633], [0.809, 0.937, 0.862], [0.848, 0.321, 0.134], [0.937, 0.809, 0.362]]}

---

Record 12
{"formula": "Be2CdWS", "functional": "GGA-PBEsol", "state": "relaxed", "dft_energy_ev_per_atom": -4.180, "dos_at_fermi_per_ev_cell": 2.6, "e_form_raw_mev_per_atom": 1297, "cell": [[3.994, 0.000, 0.000], [0.000, 3.994, 0.000], [0.000, 0.000, 5.040]], "species": ["Be", "Be", "Cd", "W", "S"], "frac_coords": [[0.000, 0.500, 0.000], [0.500, 0.000, 0.000], [0.000, 0.000, 0.500], [0.500, 0.500, 0.500], [0.000, 0.000, 0.000]]}

---

> Number 5 is which compound?

TaCoTe2